A plane-wave DFT calculation with PBE-GGA was carried out for KCuH after structural relaxation.

Values from the calculation:
VASP energy in eV per atom: -2.78
Space-group type: P-1
Relative energy among the computed polymorphs in meV/atom: 3.9

a = 4.7916 Å, b = 5.3427 Å, c = 5.8981 Å
α = 116.88°, β = 103.28°, γ = 90.27°
With the nearest neighbours (Å) after each atom.
Sites, in units of the cell vectors:
K: 0.2392 0.1757 0.3518  3 H 2.79-2.90
K: 0.7608 0.8243 0.6482  3 H 2.79-2.90
Cu: 0.2474 0.4955 0.9891  2 H 1.72-1.75
Cu: 0.7526 0.5045 0.0109  2 H 1.72-1.75
H: 0.0783 0.6224 0.2470  2 Cu 1.72-1.75
H: 0.9217 0.3776 0.7530  2 Cu 1.72-1.75

---

A plane-wave DFT calculation with PBE-GGA was carried out for KCu3H after structural relaxation.

Values from the calculation:
VASP energy in eV per atom: -2.65
Space-group type: Pm-3m
Relative energy among the computed polymorphs in meV/atom: 0.0

a = 4.2192 Å, b = 4.2192 Å, c = 4.2192 Å
α = 90.00°, β = 90.00°, γ = 90.00°
With the nearest neighbours (Å) after each atom.
Sites, in units of the cell vectors:
K: 0.0000 0.0000 0.0000  12 Cu 2.98
Cu: 0.0000 0.5000 0.5000  2 H 2.11
Cu: 0.5000 0.0000 0.5000  2 H 2.11
Cu: 0.5000 0.5000 0.0000  2 H 2.11
H: 0.5000 0.5000 0.5000  6 Cu 2.11

---

A plane-wave DFT calculation with PBE-GGA was carried out for K2CuH3 after structural relaxation.

Values from the calculation:
VASP energy in eV per atom: -2.76
Space-group type: Immm
Relative energy among the computed polymorphs in meV/atom: 140.4

a = 7.2017 Å, b = 7.2017 Å, c = 7.2017 Å
α = 148.26°, β = 147.57°, γ = 46.01°
With the nearest neighbours (Å) after each atom.
Sites, in units of the cell vectors:
K: 0.1371 0.1371 0.0000  6 H 2.71-2.82
K: 0.8629 0.8629 0.0000  6 H 2.71-2.82
Cu: 0.5000 0.5000 0.0000  2 H 1.65
H: 0.3756 0.3756 0.0000  1 Cu 1.65
H: 0.5000 0.0000 0.5000  2 Cu 1.97
H: 0.6244 0.6244 0.0000  1 Cu 1.65

---

A plane-wave DFT calculation with PBE-GGA was carried out for KCuH after structural relaxation.

Values from the calculation:
VASP energy in eV per atom: -2.75
Space-group type: P1
Relative energy among the computed polymorphs in meV/atom: 37.7

a = 4.2917 Å, b = 5.2526 Å, c = 6.4299 Å
α = 110.92°, β = 92.37°, γ = 112.73°
With the nearest neighbours (Å) after each atom.
Sites, in units of the cell vectors:
K: 0.0000 0.0000 0.0000  3 H 2.80-3.02
K: 0.1977 0.3334 0.6060  4 H 2.73-2.77
Cu: 0.4148 0.8033 0.3122  2 H 1.71-1.79
Cu: 0.7948 0.5404 0.3119  2 H 1.70-1.78
H: 0.6040 0.1709 0.3087  2 Cu 1.78-1.79
H: 0.6702 0.7781 0.5074  2 Cu 1.70-1.71

---

A plane-wave DFT calculation with PBE-GGA was carried out for KCuH after structural relaxation.

Values from the calculation:
VASP energy in eV per atom: -2.72
Space-group type: P1
Relative energy among the computed polymorphs in meV/atom: 64.9

a = 3.4331 Å, b = 5.8554 Å, c = 6.3874 Å
α = 108.81°, β = 105.45°, γ = 90.20°
With the nearest neighbours (Å) after each atom.
Sites, in units of the cell vectors:
K: 0.0000 0.0000 0.0000  3 H 2.68-2.84
K: 0.1930 0.6221 0.3814  2 H 2.64
Cu: 0.4113 0.3958 0.8150  1 H 1.61
Cu: 0.7758 0.1886 0.5439  1 H 1.83
H: 0.5356 0.3682 0.0671  1 Cu 1.61
H: 0.8855 0.4925 0.7620  3 Cu 1.83-1.87

---

A plane-wave DFT calculation with PBE-GGA was carried out for K3CuH4 after structural relaxation.

Values from the calculation:
VASP energy in eV per atom: -2.77
Space-group type: Pmn2_1
Relative energy among the computed polymorphs in meV/atom: 0.0

a = 8.4660 Å, b = 5.9277 Å, c = 5.6904 Å
α = 90.00°, β = 90.00°, γ = 90.00°
With the nearest neighbours (Å) after each atom.
Sites, in units of the cell vectors:
K: 0.0000 0.1477 0.0000  4 H 2.76-2.80
K: 0.2464 0.6898 0.0000  7 H 2.76-3.09
K: 0.2536 0.3102 0.5000  7 H 2.76-3.09
K: 0.5000 0.8523 0.5000  4 H 2.76-2.80
K: 0.7464 0.3102 0.5000  7 H 2.76-3.09
K: 0.7536 0.6898 0.0000  7 H 2.76-3.09
Cu: 0.0000 0.7160 0.4992  4 H 1.65-1.69
Cu: 0.5000 0.2840 0.9992  4 H 1.65-1.69
H: 0.0000 0.5318 0.2727  1 Cu 1.69
H: 0.0000 0.5330 0.7270  1 Cu 1.69
H: 0.1693 0.8552 0.4988  1 Cu 1.65
H: 0.3307 0.1448 0.9988  1 Cu 1.65
H: 0.5000 0.4670 0.2270  1 Cu 1.69
H: 0.5000 0.4682 0.7727  1 Cu 1.69
H: 0.6693 0.1448 0.9988  1 Cu 1.65
H: 0.8307 0.8552 0.4988  1 Cu 1.65

---

A plane-wave DFT calculation with PBE-GGA was carried out for K2CuH after structural relaxation.

Values from the calculation:
VASP energy in eV per atom: -2.20
Space-group type: I-42d
Relative energy among the computed polymorphs in meV/atom: 0.0

a = 7.0319 Å, b = 7.0319 Å, c = 7.0319 Å
α = 112.97°, β = 112.97°, γ = 102.68°
With the nearest neighbours (Å) after each atom.
Sites, in units of the cell vectors:
K: 0.0526 0.1250 0.4276  2 H 2.62
K: 0.3750 0.9474 0.0724  2 H 2.62
K: 0.6974 0.6250 0.5724  2 H 2.62
K: 0.8750 0.3026 0.9276  2 H 2.62
Cu: 0.2500 0.7500 0.5000  4 K 3.35
Cu: 0.5000 0.5000 0.0000  4 K 3.35
H: 0.0000 0.0000 0.0000  4 K 2.62
H: 0.7500 0.2500 0.5000  4 K 2.62

---

A plane-wave DFT calculation with PBE-GGA was carried out for K2Cu2H after structural relaxation.

Values from the calculation:
VASP energy in eV per atom: -2.60
Space-group type: I4/mmm

a = 9.4543 Å, b = 9.4543 Å, c = 9.4543 Å
α = 159.06°, β = 159.06°, γ = 29.79°
With the nearest neighbours (Å) after each atom.
Sites, in units of the cell vectors:
K: 0.0917 0.0917 0.0000  4 H 2.95
K: 0.9083 0.9083 0.0000  4 H 2.95
Cu: 0.2500 0.7500 0.5000  4 Cu 2.43
Cu: 0.7500 0.2500 0.5000  4 Cu 2.43
H: 0.5000 0.5000 0.0000  8 K 2.95

---

Copy entry 6 word for word.
A plane-wave DFT calculation with PBE-GGA was carried out for K3CuH4 after structural relaxation.

Values from the calculation:
VASP energy in eV per atom: -2.77
Space-group type: Pmn2_1
Relative energy among the computed polymorphs in meV/atom: 0.0

a = 8.4660 Å, b = 5.9277 Å, c = 5.6904 Å
α = 90.00°, β = 90.00°, γ = 90.00°
With the nearest neighbours (Å) after each atom.
Sites, in units of the cell vectors:
K: 0.0000 0.1477 0.0000  4 H 2.76-2.80
K: 0.2464 0.6898 0.0000  7 H 2.76-3.09
K: 0.2536 0.3102 0.5000  7 H 2.76-3.09
K: 0.5000 0.8523 0.5000  4 H 2.76-2.80
K: 0.7464 0.3102 0.5000  7 H 2.76-3.09
K: 0.7536 0.6898 0.0000  7 H 2.76-3.09
Cu: 0.0000 0.7160 0.4992  4 H 1.65-1.69
Cu: 0.5000 0.2840 0.9992  4 H 1.65-1.69
H: 0.0000 0.5318 0.2727  1 Cu 1.69
H: 0.0000 0.5330 0.7270  1 Cu 1.69
H: 0.1693 0.8552 0.4988  1 Cu 1.65
H: 0.3307 0.1448 0.9988  1 Cu 1.65
H: 0.5000 0.4670 0.2270  1 Cu 1.69
H: 0.5000 0.4682 0.7727  1 Cu 1.69
H: 0.6693 0.1448 0.9988  1 Cu 1.65
H: 0.8307 0.8552 0.4988  1 Cu 1.65

---

Please write out number 1 again, unchanged.
A plane-wave DFT calculation with PBE-GGA was carried out for KCuH after structural relaxation.

Values from the calculation:
VASP energy in eV per atom: -2.78
Space-group type: P-1
Relative energy among the computed polymorphs in meV/atom: 3.9

a = 4.7916 Å, b = 5.3427 Å, c = 5.8981 Å
α = 116.88°, β = 103.28°, γ = 90.27°
With the nearest neighbours (Å) after each atom.
Sites, in units of the cell vectors:
K: 0.2392 0.1757 0.3518  3 H 2.79-2.90
K: 0.7608 0.8243 0.6482  3 H 2.79-2.90
Cu: 0.2474 0.4955 0.9891  2 H 1.72-1.75
Cu: 0.7526 0.5045 0.0109  2 H 1.72-1.75
H: 0.0783 0.6224 0.2470  2 Cu 1.72-1.75
H: 0.9217 0.3776 0.7530  2 Cu 1.72-1.75

---

- The lowest VASP energy belongs to which entry?
  number 1